#one
## Tb3Ho2Er5 (GGA-PBE)

Data for a geometry-optimized Tb3Ho2Er5 structure.

Summary:
Space-group type: No. 72
Crystal system: orthorhombic
Density: 8.25 g/cm³
Magnetization: 0.0000 μB per atom

abc: 6.208 10.969 10.969
angles: 99.77 73.56 73.56
Sites, in units of the cell vectors:
Tb (0.250, 0.000, 0.000)
Tb (0.750, 0.000, 0.000)
Tb (0.341, 0.408, 0.910)
Tb (0.659, 0.592, 0.090)
Tb (0.841, 0.910, 0.408)
Tb (0.159, 0.090, 0.592)
Ho (0.100, 0.743, 0.056)
Ho (0.900, 0.257, 0.944)
Ho (0.600, 0.056, 0.743)
Ho (0.400, 0.944, 0.257)
Er (0.250, 0.500, 0.500)
Er (0.750, 0.500, 0.500)
Er (0.501, 0.749, 0.749)
Er (0.999, 0.251, 0.251)
Er (0.499, 0.251, 0.251)
Er (0.001, 0.749, 0.749)
Er (0.098, 0.558, 0.245)
Er (0.902, 0.442, 0.755)
Er (0.598, 0.245, 0.558)
Er (0.402, 0.755, 0.442)


#two
## Tb3Ho2Er5 (GGA-PBE)

Data for a geometry-optimized Tb3Ho2Er5 structure.

Summary:
Space-group type: No. 15
Crystal system: monoclinic
Density: 8.56 g/cm³
Magnetization: 0.0000 μB per atom

abc: 9.386 9.372 10.981
angles: 125.61 125.64 68.66
Sites, in units of the cell vectors:
Tb (0.232, 0.982, 0.965)
Tb (0.768, 0.018, 0.035)
Tb (0.732, 0.475, 0.253)
Tb (0.268, 0.525, 0.747)
Tb (0.021, 0.779, 0.253)
Tb (0.979, 0.221, 0.747)
Ho (0.773, 0.015, 0.740)
Ho (0.227, 0.985, 0.260)
Ho (0.467, 0.724, 0.740)
Ho (0.533, 0.276, 0.260)
Er (0.271, 0.521, 0.043)
Er (0.729, 0.479, 0.957)
Er (0.026, 0.776, 0.552)
Er (0.529, 0.279, 0.557)
Er (0.974, 0.224, 0.448)
Er (0.471, 0.721, 0.443)
Er (0.856, 0.606, 0.729)
Er (0.144, 0.394, 0.271)
Er (0.373, 0.123, 0.729)
Er (0.627, 0.877, 0.271)


Most stable: #two